Compound: SrScI2O
Source: Alexandria via LeMat-Bulk
Functional: PBEsol
Structure: optimized geometry

VASP energy = -20.68 eV per cell
Formation energy (no corrections) = -0.690 eV/atom

abc: 4.2653 6.1885 6.1885
angles: 90.00 90.00 90.00
Closest atoms and distances in Å follow each position.
Fractional positions:
I (0.0000, 0.0000, 0.5000)  2 Sr 3.09
I (0.0000, 0.5000, 0.0000)  2 Sr 3.09
Sr (0.0000, 0.0000, 0.0000)  2 O 2.13
Sc (0.5000, 0.5000, 0.5000)  8 I 3.76
O (0.5000, 0.0000, 0.0000)  2 Sr 2.13



Compound: CaMn2Ru
Source: Alexandria via LeMat-Bulk
Functional: PBEsol
Structure: optimized geometry

VASP energy = -29.80 eV per cell
Energy above the most stable polymorph in this dataset = 0.00 eV/f.u.
Energy of formation = 507 meV per atom

abc: 3.1025 3.1025 7.1216
angles: 90.00 90.00 90.00
Closest atoms and distances in Å follow each position.
Fractional positions:
Ca (0.5000, 0.5000, 0.5000)  4 Ca 3.10, 8 Mn 3.14
Mn (0.0000, 0.0000, 0.8157)  4 Ru 2.56, 1 Mn 2.62
Mn (0.0000, 0.0000, 0.1843)  4 Ru 2.56, 1 Mn 2.62
Ru (0.5000, 0.5000, 0.0000)  8 Mn 2.56



Compound: TlInBr2
Source: Alexandria via LeMat-Bulk
Functional: PBEsol
Structure: optimized geometry

VASP energy = -23.33 eV per cell
Energy above the most stable polymorph in this dataset = 0.45 eV/f.u.
Formation energy (no corrections) = -0.578 eV/atom

abc: 8.3738 8.3738 7.0929
angles: 126.18 126.18 90.00
Closest atoms and distances in Å follow each position.
Fractional positions:
Tl (0.2500, 0.7500, 0.5000)  4 Br 3.15
Tl (0.0000, 0.0000, 0.0000)  4 Br 3.15
Br (0.3808, 0.8750, 0.2500)  2 In 3.09, 2 Tl 3.15
Br (0.8692, 0.3750, 0.2500)  2 In 3.09, 2 Tl 3.15
Br (0.1250, 0.1308, 0.7500)  2 In 3.09, 2 Tl 3.15
Br (0.6250, 0.6192, 0.7500)  2 In 3.09, 2 Tl 3.15
In (0.7500, 0.2500, 0.5000)  4 Br 3.09
In (0.5000, 0.5000, 0.0000)  4 Br 3.09



Compound: LaTaAu2
Source: Alexandria via LeMat-Bulk
Functional: PBEsol
Structure: optimized geometry

VASP energy = -25.64 eV per cell
Energy of formation = 26 meV per atom

abc: 4.9400 4.9400 4.9400
angles: 60.00 60.00 60.00
Closest atoms and distances in Å follow each position.
Fractional positions:
Au (0.7500, 0.7500, 0.7500)  4 Ta 3.03, 4 La 3.03
Au (0.2500, 0.2500, 0.2500)  4 Ta 3.03, 4 La 3.03
La (0.0000, 0.0000, 0.0000)  8 Au 3.03
Ta (0.5000, 0.5000, 0.5000)  8 Au 3.03



Compound: LiReO3
Source: Alexandria via LeMat-Bulk
Functional: PBEsol
Structure: optimized geometry

VASP energy = -79.21 eV per cell
Formation energy (no corrections) = -1.712 eV/atom

abc: 5.0769 5.0769 5.3735
angles: 61.81 61.81 60.00
Closest atoms and distances in Å follow each position.
Fractional positions:
Re (0.4972, 0.4972, 0.5085)  6 O 1.93-1.95
Re (0.9972, 0.9972, 0.0085)  6 O 1.93-1.95
O (0.7393, 0.1300, 0.7688)  2 Re 1.93-1.95, 1 Li 2.02
O (0.3618, 0.7393, 0.7688)  2 Re 1.93-1.95, 1 Li 2.02
O (0.8618, 0.6300, 0.2688)  2 Re 1.93-1.95, 1 Li 2.02
O (0.2393, 0.8618, 0.2688)  2 Re 1.93-1.95, 1 Li 2.02
O (0.6300, 0.2393, 0.2688)  2 Re 1.93-1.95, 1 Li 2.02
O (0.1300, 0.3618, 0.7688)  2 Re 1.93-1.95, 1 Li 2.02
Li (0.7827, 0.7827, 0.6520)  3 O 2.02
Li (0.2827, 0.2827, 0.1520)  3 O 2.02



Compound: ScSbTe2Rh
Source: Alexandria via LeMat-Bulk
Functional: PBEsol
Structure: optimized geometry

VASP energy = -22.97 eV per cell
Formation energy (no corrections) = 0.676 eV/atom

abc: 5.2879 5.2879 5.3077
angles: 90.00 90.00 90.00
Closest atoms and distances in Å follow each position.
Fractional positions:
Sc (0.0000, 0.0000, 0.0000)  4 Te 2.64, 2 Sb 2.65
Sb (0.0000, 0.0000, 0.5000)  2 Sc 2.65
Te (0.0000, 0.5000, 0.0000)  2 Sc 2.64
Te (0.5000, 0.0000, 0.0000)  2 Sc 2.64
Rh (0.5000, 0.5000, 0.5000)  4 Sb 3.74, 8 Te 3.75



Compound: Cd2Ru2O7
Source: Alexandria via LeMat-Bulk
Functional: PBEsol
Structure: optimized geometry

VASP energy = -141.49 eV per cell
Formation energy (no corrections) = -1.024 eV/atom

abc: 7.1330 7.1330 7.1330
angles: 60.00 60.00 60.00
Closest atoms and distances in Å follow each position.
Fractional positions:
Cd (0.6250, 0.6250, 0.1250)  2 O 2.18
Cd (0.6250, 0.1250, 0.6250)  2 O 2.18
Cd (0.6250, 0.6250, 0.6250)  2 O 2.18
Cd (0.1250, 0.6250, 0.6250)  2 O 2.18
Ru (0.1250, 0.1250, 0.6250)  6 O 1.91
Ru (0.1250, 0.6250, 0.1250)  6 O 1.91
Ru (0.1250, 0.1250, 0.1250)  6 O 1.91
Ru (0.6250, 0.1250, 0.1250)  6 O 1.91
O (0.8062, 0.8062, 0.1938)  2 Ru 1.91
O (0.4438, 0.0562, 0.0562)  2 Ru 1.91
O (0.0562, 0.4438, 0.4438)  2 Ru 1.91
O (0.0562, 0.0562, 0.4438)  2 Ru 1.91
O (0.0562, 0.4438, 0.0562)  2 Ru 1.91
O (0.4438, 0.0562, 0.4438)  2 Ru 1.91
O (0.1938, 0.8062, 0.1938)  2 Ru 1.91
O (0.8062, 0.1938, 0.1938)  2 Ru 1.91
O (0.1938, 0.8062, 0.8062)  2 Ru 1.91
O (0.8062, 0.1938, 0.8062)  2 Ru 1.91
O (0.4438, 0.4438, 0.0562)  2 Ru 1.91
O (0.1938, 0.1938, 0.8062)  2 Ru 1.91
O (0.7500, 0.7500, 0.7500)  4 Cd 2.18
O (0.5000, 0.5000, 0.5000)  4 Cd 2.18



Compound: NiPdBr3
Source: Alexandria via LeMat-Bulk
Functional: PBEsol
Structure: optimized geometry

VASP energy = -15.22 eV per cell
Formation energy (no corrections) = 0.501 eV/atom

abc: 5.0064 5.0064 5.0064
angles: 90.00 90.00 90.00
Closest atoms and distances in Å follow each position.
Fractional positions:
Ni (0.5000, 0.5000, 0.5000)  12 Br 3.54
Br (0.0000, 0.5000, 0.0000)  2 Pd 2.50
Br (0.0000, 0.0000, 0.5000)  2 Pd 2.50
Br (0.5000, 0.0000, 0.0000)  2 Pd 2.50
Pd (0.0000, 0.0000, 0.0000)  6 Br 2.50



Compound: LiCrAsSe2
Source: Alexandria via LeMat-Bulk
Functional: PBEsol
Structure: optimized geometry

VASP energy = -25.12 eV per cell
Formation energy (no corrections) = -0.020 eV/atom

abc: 4.5962 4.8383 4.8383
angles: 90.00 90.00 90.00
Closest atoms and distances in Å follow each position.
Fractional positions:
Cr (0.0000, 0.0000, 0.0000)  2 As 2.30, 4 Se 2.42
As (0.5000, 0.0000, 0.0000)  2 Cr 2.30
Se (0.0000, 0.0000, 0.5000)  2 Cr 2.42
Se (0.0000, 0.5000, 0.0000)  2 Cr 2.42
Li (0.5000, 0.5000, 0.5000)  8 Se 3.34, 4 As 3.42



Compound: KBeSeBr2
Source: Alexandria via LeMat-Bulk
Functional: PBEsol
Structure: optimized geometry

VASP energy = -8.88 eV per cell
Formation energy (no corrections) = 0.769 eV/atom

abc: 5.7626 5.8520 5.8520
angles: 90.00 90.00 90.00
Closest atoms and distances in Å follow each position.
Fractional positions:
Be (0.5000, 0.5000, 0.5000)  8 Br 4.11, 4 Se 4.14
K (0.0000, 0.0000, 0.0000)  2 Se 2.88, 4 Br 2.93
Se (0.5000, 0.0000, 0.0000)  2 K 2.88
Br (0.0000, 0.0000, 0.5000)  2 K 2.93
Br (0.0000, 0.5000, 0.0000)  2 K 2.93



Compound: ScFeAs2
Source: Alexandria via LeMat-Bulk
Functional: PBEsol
Structure: optimized geometry

VASP energy = -27.00 eV per cell
Energy of formation = -306 meV per atom

abc: 2.9111 2.9111 8.0137
angles: 90.00 90.00 90.00
Closest atoms and distances in Å follow each position.
Fractional positions:
As (0.0000, 0.0000, 0.9664)  4 Sc 2.90, 4 As 2.91
As (0.5000, 0.5000, 0.3357)  4 Fe 2.38
Fe (0.0000, 0.0000, 0.4857)  4 As 2.38
Sc (0.5000, 0.5000, 0.7122)  4 Fe 2.74, 5 As 2.90-3.02, 4 Sc 2.91



Compound: BaRuCl2
Source: Alexandria via LeMat-Bulk
Functional: PBEsol
Structure: optimized geometry

VASP energy = -17.51 eV per cell
Formation energy (no corrections) = -0.294 eV/atom

abc: 3.8427 5.4805 5.4805
angles: 105.18 106.35 106.35
Closest atoms and distances in Å follow each position.
Fractional positions:
Ru (0.5000, 0.5000, 0.5000)  4 Cl 2.87
Ba (0.5000, 0.0000, 0.0000)  4 Cl 2.87
Cl (0.0000, 0.0000, 0.5000)  2 Ba 2.87, 2 Ru 2.87
Cl (0.0000, 0.5000, 0.0000)  2 Ru 2.87, 2 Ba 2.87



Compound: LaTlBr3
Source: Alexandria via LeMat-Bulk
Functional: PBEsol
Structure: optimized geometry

VASP energy = -15.90 eV per cell
Formation energy (no corrections) = -0.462 eV/atom

abc: 5.7146 5.7146 5.7146
angles: 90.00 90.00 90.00
Closest atoms and distances in Å follow each position.
Fractional positions:
Tl (0.0000, 0.0000, 0.0000)  6 Br 2.86
Br (0.0000, 0.5000, 0.0000)  2 Tl 2.86
Br (0.0000, 0.0000, 0.5000)  2 Tl 2.86
Br (0.5000, 0.0000, 0.0000)  2 Tl 2.86
La (0.5000, 0.5000, 0.5000)  12 Br 4.04



Compound: Ge2Os2Se
Source: Alexandria via LeMat-Bulk
Functional: PBEsol
Structure: optimized geometry

VASP energy = -35.66 eV per cell
Formation energy (no corrections) = 0.500 eV/atom

abc: 4.2768 4.2768 5.5478
angles: 112.67 112.67 90.00
Closest atoms and distances in Å follow each position.
Fractional positions:
Ge (0.3752, 0.3752, 0.7504)  1 Ge 2.32, 4 Os 2.44
Ge (0.6248, 0.6248, 0.2496)  1 Ge 2.32, 4 Os 2.44
Os (0.2500, 0.7500, 0.5000)  4 Ge 2.44
Os (0.7500, 0.2500, 0.5000)  4 Ge 2.44
Se (0.0000, 0.0000, 0.0000)  8 Os 3.16, 10 Ge 3.24-3.49



Compound: BaBeBr2
Source: Alexandria via LeMat-Bulk
Functional: PBEsol
Structure: optimized geometry

VASP energy = -13.41 eV per cell
Energy above the most stable polymorph in this dataset = 0.00 eV/f.u.
Formation energy (no corrections) = -0.881 eV/atom

abc: 4.1568 4.8973 5.9206
angles: 109.58 90.00 90.00
Closest atoms and distances in Å follow each position.
Fractional positions:
Be (0.5000, 0.4893, 0.8757)  1 Br 2.27
Ba (0.0000, 0.1430, 0.4713)  2 Be 3.20, 7 Br 3.32-3.39
Br (0.0000, 0.8040, 0.8770)  2 Be 2.59
Br (0.5000, 0.5637, 0.2760)  1 Be 2.27



Compound: SrZrRh2
Source: Alexandria via LeMat-Bulk
Functional: PBEsol
Structure: optimized geometry

VASP energy = -28.19 eV per cell
Energy of formation = -245 meV per atom

abc: 3.2419 4.7701 5.0554
angles: 90.00 90.02 90.00
Closest atoms and distances in Å follow each position.
Fractional positions:
Rh (0.8751, 0.0000, 0.9064)  4 Zr 2.88-2.89, 4 Sr 2.99-3.02, 2 Rh 3.11
Rh (0.8750, 0.5000, 0.3008)  2 Zr 2.64, 4 Sr 2.93
Sr (0.3754, 0.0000, 0.4035)  8 Rh 2.93-3.02, 2 Sr 3.24
Zr (0.3745, 0.5000, 0.8893)  6 Rh 2.64-2.89



Compound: SnH3Os
Source: Alexandria via LeMat-Bulk
Functional: PBEsol
Structure: optimized geometry

VASP energy = -18.32 eV per cell

abc: 3.7467 3.7467 3.7467
angles: 90.00 90.00 90.00
Closest atoms and distances in Å follow each position.
Fractional positions:
H (0.0000, 0.5000, 0.0000)  2 Sn 1.87
H (0.0000, 0.0000, 0.5000)  2 Sn 1.87
H (0.5000, 0.0000, 0.0000)  2 Sn 1.87
Os (0.5000, 0.5000, 0.5000)  12 H 2.65
Sn (0.0000, 0.0000, 0.0000)  6 H 1.87



Compound: Li2IBr
Source: Alexandria via LeMat-Bulk
Functional: PBEsol
Structure: optimized geometry

VASP energy = -26.03 eV per cell
Energy above the most stable polymorph in this dataset = 0.00 eV/f.u.
Formation energy (no corrections) = -1.361 eV/atom

abc: 6.0729 6.0729 7.4165
angles: 114.17 114.17 90.00
Closest atoms and distances in Å follow each position.
Fractional positions:
I (0.2500, 0.7500, 0.5000)  4 Li 2.74
I (0.0000, 0.0000, 0.0000)  4 Li 2.74
Br (0.7500, 0.2500, 0.5000)  4 Li 2.52
Br (0.5000, 0.5000, 0.0000)  4 Li 2.52
Li (0.8441, 0.3750, 0.2500)  2 Br 2.52, 2 I 2.74
Li (0.4059, 0.8750, 0.2500)  2 Br 2.52, 2 I 2.74
Li (0.6250, 0.5941, 0.7500)  2 Br 2.52, 2 I 2.74
Li (0.1250, 0.1559, 0.7500)  2 Br 2.52, 2 I 2.74



Compound: ZrCrAuI2
Source: Alexandria via LeMat-Bulk
Functional: PBEsol
Structure: optimized geometry

VASP energy = -21.36 eV per cell
Formation energy (no corrections) = 1.086 eV/atom

abc: 4.9463 5.4423 5.4423
angles: 90.00 90.00 90.00
Closest atoms and distances in Å follow each position.
Fractional positions:
I (0.0000, 0.0000, 0.5000)  2 Au 2.72
I (0.0000, 0.5000, 0.0000)  2 Au 2.72
Cr (0.5000, 0.0000, 0.0000)  2 Au 2.47
Au (0.0000, 0.0000, 0.0000)  2 Cr 2.47, 4 I 2.72
Zr (0.5000, 0.5000, 0.5000)  8 I 3.68, 4 Cr 3.85



Compound: SiMo2Au
Source: Alexandria via LeMat-Bulk
Functional: PBEsol
Structure: optimized geometry

VASP energy = -32.80 eV per cell
Formation energy (no corrections) = 0.102 eV/atom

abc: 3.9063 3.9063 4.7970
angles: 114.03 114.03 90.00
Closest atoms and distances in Å follow each position.
Fractional positions:
Au (0.2500, 0.7500, 0.5000)  8 Mo 2.76-2.77, 4 Si 2.77
Mo (0.0000, 0.0000, 0.0000)  4 Si 2.76, 4 Mo 2.77, 4 Au 2.77
Mo (0.7500, 0.2500, 0.5000)  4 Au 2.76, 4 Mo 2.77, 4 Si 2.77
Si (0.5000, 0.5000, 0.0000)  8 Mo 2.76-2.77, 4 Au 2.77